Entry 1:
DFT (PBEsol) results for a relaxed structure of CaLaY2.

```
data_CaLaY2
_space_group_name_H-M_alt 'I -4 m 2'
_space_group_IT_number 119
_space_group_name_Hall 'I -4 -2'
_cell_length_a 5.169
_cell_length_b 5.169
_cell_length_c 10.010
_cell_angle_alpha 90.00
_cell_angle_beta 90.00
_cell_angle_gamma 90.00
loop_
_atom_site_label
_atom_site_type_symbol
_atom_site_fract_x
_atom_site_fract_y
_atom_site_fract_z
_atom_site_occupancy
Ca1 Ca 0.000 0.000 0.000 1
La1 La 0.000 0.500 0.250 1
Y1 Y 0.000 0.000 0.500 1
Y2 Y 0.000 0.500 0.750 1
```

The polymorph energy (0 for the lowest one) is 59 meV/atom. The calculation puts the density at 4.4 Mg/m³. As for the volume: 33.428 Å³ per atom. For the formation energy, the calculation gives 0.123 eV/atom.

Entry 2:
DFT (PBEsol) results for a relaxed structure of MnSiSb4.

```
data_MnSiSb4
_space_group_name_H-M_alt 'F -4 3 m'
_space_group_IT_number 216
_space_group_name_Hall 'F -4 2 3'
_cell_length_a 8.556
_cell_length_b 8.556
_cell_length_c 8.556
_cell_angle_alpha 90.00
_cell_angle_beta 90.00
_cell_angle_gamma 90.00
loop_
_atom_site_label
_atom_site_type_symbol
_atom_site_fract_x
_atom_site_fract_y
_atom_site_fract_z
_atom_site_occupancy
Mn1 Mn 0.000 0.000 0.000 1
Si1 Si 0.250 0.250 0.250 1
Sb1 Sb 0.125 0.125 0.625 1
```

The formation energy (no corrections) is 850.0 meV per atom. The calculation puts the density at 6.0 Mg/m³. As for the volume: 26.100 Å³ per atom.

> What is the density in the second record?

6.0 Mg/m³

> volume of number 1 (CaLaY2)?

33.428 Å³ per atom

> Which formula does entry 1 have?

CaLaY2

> Which of these has the lowest volume?

MnSiSb4